MgMnBe3: optimized geometry, GGA-PBE.

Symmetry: No. 221
Polymorph energy (0 for the lowest one), meV/atom: 787
Calculated formation energy, eV per atom: 1.52
N(E_F), states/eV/cell: 1.902

Cell: 4.314 4.314 4.314 Å, 90.00 90.00 90.00°
Positions (direct):
Mn (0.500, 0.500, 0.500)
Be (0.000, 0.000, 0.500)
Be (0.500, 0.000, 0.000)
Be (0.000, 0.500, 0.000)
Mg (0.000, 0.000, 0.000)

---

Pm3PrI8: optimized geometry, GGA-PBE.

Symmetry: No. 12
ΔE_f (raw), meV/atom: -1289
N(E_F), states/eV/cell: 6.057

Cell: 8.464 8.439 9.514 Å, 116.37 90.00 120.10°
Positions (direct):
I (0.250, 0.501, 0.752)
I (0.253, 0.505, 0.251)
I (0.253, 0.001, 0.749)
I (0.747, 0.999, 0.251)
I (0.253, 0.999, 0.251)
I (0.747, 0.495, 0.749)
I (0.747, 0.001, 0.749)
I (0.750, 0.499, 0.248)
Pm (0.500, 0.000, 0.000)
Pm (0.500, 0.500, 0.000)
Pm (0.000, 0.500, 0.000)
Pr (0.000, 0.000, 0.000)

---

Mg2CoPbBr: optimized geometry, GGA-PBE.

Symmetry: No. 123
ΔE_f (raw), meV/atom: 407
N(E_F), states/eV/cell: 3.245

Cell: 5.498 4.987 5.498 Å, 90.00 90.00 90.00°
Positions (direct):
Br (0.500, 0.500, 0.500)
Co (0.000, 0.500, 0.000)
Mg (0.000, 0.000, 0.500)
Mg (0.500, 0.000, 0.000)
Pb (0.000, 0.000, 0.000)

---

Ti2Nb2ReMo6: optimized geometry, GGA-PBE.

Symmetry: No. 166
Calculated formation energy, eV per atom: 0.59
N(E_F), states/eV/cell: 11.822

Cell: 5.515 5.515 7.916 Å, 69.61 69.61 60.00°
Positions (direct):
Mo (0.060, 0.565, 0.315)
Mo (0.940, 0.940, 0.685)
Mo (0.565, 0.060, 0.315)
Mo (0.060, 0.060, 0.315)
Mo (0.940, 0.435, 0.685)
Mo (0.435, 0.940, 0.685)
Nb (0.558, 0.558, 0.326)
Nb (0.442, 0.442, 0.674)
Re (0.000, 0.000, 0.000)
Ti (0.327, 0.327, 0.020)
Ti (0.673, 0.673, 0.980)

---

What is the formula in the third record?
Mg2CoPbBr

---

Which value of N(E_F) does entry 3 give?
3.245 states/eV/cell